This record from Alexandria via LeMat-Bulk describes crystalline InHgPd6 at its relaxed geometry. The functional is PBE.

Cell and atoms, written as POSCAR:
```
InHgPd6
1.0
4.042 0.000 0.000
0.000 4.042 0.000
0.000 0.000 8.106
In Hg Pd
1 1 6
Cartesian
0.000 0.000 0.000
0.000 0.000 4.053
0.000 2.021 1.997
0.000 2.021 6.109
2.021 0.000 1.997
2.021 0.000 6.109
2.021 2.021 0.000
2.021 2.021 4.053
```

- SG: No. 123
- V: 16.56 Å³/atom
- Total magnetization: 0.00 μB/f.u.
- Calculated formation energy: -264 meV per atom
- Raw total energy: -36.31 eV for the cell shown
- Energy above the lowest structure with this stoichiometry: 0.05 kcal/mol of atoms